DFT (GGA+U) results for a relaxed VGaO3 crystal.

Unit cell a=3.1903 b=5.1621 c=7.4665 alpha=101.92 beta=90.00 gamma=90.00
With the nearest neighbours (Å) after each atom.
Fractional positions:
1 V 0.2500 0.7223 0.4161  6 O 2.06-2.12
2 V 0.7500 0.2777 0.5839  6 O 2.06-2.12
3 Ga 0.2500 0.8533 0.8438  4 O 1.86-2.00
4 Ga 0.7500 0.1467 0.1562  4 O 1.86-2.00
5 O 0.7500 0.9634 0.3579  1 Ga 1.94, 3 V 2.09-2.12
6 O 0.7500 0.4645 0.3624  1 Ga 2.00, 3 V 2.06-2.08
7 O 0.2500 0.0366 0.6421  1 Ga 1.94, 3 V 2.09-2.12
8 O 0.2500 0.5355 0.6376  1 Ga 2.00, 3 V 2.06-2.08
9 O 0.2500 0.2087 0.0447  2 Ga 1.86
10 O 0.7500 0.7913 0.9553  2 Ga 1.86

Values from the calculation:
**Crystal system**: monoclinic
**VASP energy**: -0.2552 hartree per atom